1.
A plane-wave DFT calculation with PBE was carried out for Tb3Dy6In after structural relaxation.

Computed properties:
The value obtained for the density is 8.4 g/cm3. The calculation puts the excess energy over the best structure of this formula in the dataset at 37.2 meV per atom. The formation energy comes out at -0.032 eV/atom. As for the total energy: -4.457 eV/atom.

Lattice parameters (Å, degrees): 12.8511 3.5377 14.4165 90.00 108.30 90.00
Last column: nearest neighbours and their distance in Å.
Fractional positions:
Tb: 0.0093 0.2500 0.3971  1 In 3.28, 7 Dy 3.28-3.61, 4 Tb 3.53-3.54
Tb: 0.3771 0.2500 0.9965  7 Dy 3.36-3.69, 4 Tb 3.54-3.59
Tb: 0.4677 0.2500 0.5922  4 Dy 3.24-3.57, 4 Tb 3.50-3.54
Tb: 0.5323 0.7500 0.4078  4 Dy 3.24-3.57, 4 Tb 3.50-3.54
Tb: 0.6229 0.7500 0.0035  7 Dy 3.36-3.69, 4 Tb 3.54-3.59
Tb: 0.9907 0.7500 0.6029  1 In 3.28, 7 Dy 3.28-3.61, 4 Tb 3.53-3.54
Dy: 0.1363 0.7500 0.0229  3 In 3.34-3.48, 6 Dy 3.54-3.60, 2 Tb 3.69
Dy: 0.1430 0.2500 0.8081  2 In 3.33, 3 Tb 3.36-3.48, 7 Dy 3.45-3.67
Dy: 0.2184 0.2500 0.5988  4 Tb 3.24-3.44, 7 Dy 3.40-3.60
Dy: 0.2521 0.7500 0.3922  2 In 3.48, 6 Dy 3.52-3.60, 5 Tb 3.54-3.76
Dy: 0.3356 0.2500 0.2163  1 In 3.23, 3 Tb 3.37-3.57, 7 Dy 3.52-3.61
Dy: 0.3858 0.7500 0.7893  7 Dy 3.40-3.67, 5 Tb 3.50-3.77
Dy: 0.6142 0.2500 0.2107  7 Dy 3.40-3.67, 5 Tb 3.50-3.77
Dy: 0.6644 0.7500 0.7837  1 In 3.23, 3 Tb 3.37-3.57, 7 Dy 3.52-3.61
Dy: 0.7479 0.2500 0.6078  2 In 3.48, 6 Dy 3.52-3.60, 5 Tb 3.54-3.76
Dy: 0.7816 0.7500 0.4012  4 Tb 3.24-3.44, 7 Dy 3.40-3.60
Dy: 0.8570 0.7500 0.1919  2 In 3.33, 3 Tb 3.36-3.48, 7 Dy 3.45-3.67
Dy: 0.8637 0.2500 0.9771  3 In 3.34-3.48, 6 Dy 3.54-3.60, 2 Tb 3.69
In: 0.0778 0.2500 0.1965  8 Dy 3.23-3.48, 1 Tb 3.28, 2 In 3.54
In: 0.9222 0.7500 0.8035  8 Dy 3.23-3.48, 1 Tb 3.28, 2 In 3.54

***

2.
A plane-wave DFT calculation with PBE was carried out for TbCeGe4 after structural relaxation.

Computed properties:
The value obtained for the density is 7.8 g/cm3. The formation energy comes out at -0.351 eV/atom. As for the total energy: -5.190 eV/atom.

Lattice parameters (Å, degrees): 5.6250 5.6250 5.6250 60.00 60.00 60.00
Last column: nearest neighbours and their distance in Å.
Fractional positions:
Tb: 0.0000 0.0000 0.0000  12 Ge 3.30, 4 Ce 3.44
Ce: 0.2500 0.2500 0.2500  12 Ge 3.30, 4 Tb 3.44
Ge: 0.1218 0.6261 0.6261  6 Ge 2.79-2.84
Ge: 0.6261 0.1218 0.6261  6 Ge 2.79-2.84
Ge: 0.6261 0.6261 0.1218  6 Ge 2.79-2.84
Ge: 0.6261 0.6261 0.6261  6 Ge 2.79-2.84

***

3.
A plane-wave DFT calculation with PBE was carried out for B2C3 after structural relaxation.

Computed properties:
The value obtained for the density is 2.8 g/cm3. The calculation puts the excess energy over the best structure of this formula in the dataset at 116.3 meV per atom. The formation energy comes out at 0.352 eV/atom. As for the total energy: -7.853 eV/atom.

Lattice parameters (Å, degrees): 4.7531 4.7531 6.6792 120.44 120.44 32.77
Last column: nearest neighbours and their distance in Å.
Fractional positions:
B: 0.0010 0.0010 0.3146  3 C 1.56-1.60
B: 0.3492 0.3492 0.9490  3 C 1.56-1.65
B: 0.6508 0.6508 0.0510  3 C 1.56-1.65
B: 0.9990 0.9990 0.6854  3 C 1.56-1.60
C: 0.2049 0.2049 0.1926  2 C 1.56-1.66, 2 B 1.56
C: 0.2059 0.2059 0.4270  3 C 1.56-1.60, 1 B 1.60
C: 0.3983 0.3983 0.2250  3 B 1.56-1.65, 1 C 1.66
C: 0.6017 0.6017 0.7750  3 B 1.56-1.65, 1 C 1.66
C: 0.7941 0.7941 0.5730  3 C 1.56-1.60, 1 B 1.60
C: 0.7951 0.7951 0.8074  2 C 1.56-1.66, 2 B 1.56

***

4.
A plane-wave DFT calculation with PBE was carried out for Ca4InAg after structural relaxation.

Computed properties:
The value obtained for the density is 3.4 g/cm3. The calculation puts the excess energy over the best structure of this formula in the dataset at 0.0 meV per atom. The formation energy comes out at -0.272 eV/atom. As for the total energy: -2.538 eV/atom.

Lattice parameters (Å, degrees): 5.8238 7.2374 9.1131 90.00 99.17 90.00
Last column: nearest neighbours and their distance in Å.
Fractional positions:
Ca: 0.1608 0.2500 0.0690  2 Ag 3.03-3.15, 1 In 3.19
Ca: 0.2196 0.7500 0.3768  1 Ag 3.24, 2 In 3.42, 4 Ca 3.61-3.62
Ca: 0.3100 0.5112 0.7353  2 Ag 3.18-3.29, 1 In 3.38, 1 Ca 3.46
Ca: 0.3100 0.9888 0.7353  2 Ag 3.18-3.29, 1 In 3.38, 1 Ca 3.46
Ca: 0.6900 0.0112 0.2647  2 Ag 3.18-3.29, 1 In 3.38, 1 Ca 3.46
Ca: 0.6900 0.4888 0.2647  2 Ag 3.18-3.29, 1 In 3.38, 1 Ca 3.46
Ca: 0.7804 0.2500 0.6232  1 Ag 3.24, 2 In 3.42, 4 Ca 3.61-3.62
Ca: 0.8392 0.7500 0.9310  2 Ag 3.03-3.15, 1 In 3.19
In: 0.2300 0.2500 0.4234  5 Ca 3.19-3.42
In: 0.7700 0.7500 0.5766  5 Ca 3.19-3.42
Ag: 0.3572 0.7500 0.0455  7 Ca 3.03-3.29
Ag: 0.6428 0.2500 0.9545  7 Ca 3.03-3.29

***

- Which of these has the lowest density?
  B2C3